(1)
Compound: Ca2Co2Ge2H
Source: Alexandria via LeMat-Bulk
Functional: PBE-GGA
Structure: optimized geometry

a b c (Å): 3.9039 3.9039 7.9859
angles (deg): 104.15 104.15 90.00
Positions (direct):
Co  0.5000  0.0000  0.0000
Co  0.0000  0.5000  0.0000
Ge  0.5984  0.5984  0.1968
H  0.0000  0.0000  0.0000
Ca  0.8372  0.8372  0.6744
Ca  0.1628  0.1628  0.3256
Ge  0.4016  0.4016  0.8032

## Properties
Calculated total energy (eV/atom): -4.8062
Magnetic moment (μB per atom): 0.0000
Space-group type: I4/mmm (139)

=====

(2)
Compound: CaCoGeH2
Source: Alexandria via LeMat-Bulk
Functional: PBE-GGA
Structure: optimized geometry

a b c (Å): 3.8700 4.6458 3.8700
angles (deg): 90.00 90.00 90.00
Site moments in Bohr magnetons follow the coordinates.
Positions (direct):
H  0.5000  0.0000  0.0000  0.01
Ca  0.5000  0.5000  0.5000  -0.05
H  0.0000  0.0000  0.5000  0.02
Ge  0.0000  0.0000  0.0000  -0.02
Co  0.0000  0.5000  0.0000  0.82

## Properties
Calculated total energy (eV/atom): -3.7949
Magnetic moment (μB per atom): 0.1391
Space-group type: P4/mmm (123)

=====

(3)
Compound: CaCo2GeH
Source: Alexandria via LeMat-Bulk
Functional: PBE-GGA
Structure: optimized geometry

a b c (Å): 4.3719 5.7730 4.3719
angles (deg): 90.00 90.00 90.00
Site moments in Bohr magnetons follow the coordinates.
Positions (direct):
H  0.5000  0.5000  0.5000  0.08
Ca  0.0000  0.5000  0.0000  -0.01
Co  0.0000  0.0000  0.5000  1.23
Co  0.5000  0.0000  0.0000  1.66
Ge  0.0000  0.0000  0.0000  -0.07

## Properties
Calculated total energy (eV/atom): -4.0554
Magnetic moment (μB per atom): 0.5959
Space-group type: P4/mmm (123)

=====

> The lowest magnetic moment belongs to which entry?

Ca2Co2Ge2H